A geometry-optimized BaSiAu3 structure, computed with PBE.

Cell: 6.468 11.725 6.317 Å, 90.00 90.00 90.00°
Atoms (fractional coordinates):
Ba (0.000, 0.000, 0.000)
Ba (0.000, 0.500, 0.000)
Ba (0.500, 0.000, 0.500)
Ba (0.500, 0.500, 0.500)
Si (0.232, 0.250, 0.216)
Si (0.268, 0.750, 0.716)
Si (0.732, 0.250, 0.284)
Si (0.768, 0.750, 0.784)
Au (0.023, 0.118, 0.463)
Au (0.023, 0.382, 0.463)
Au (0.194, 0.250, 0.813)
Au (0.306, 0.750, 0.313)
Au (0.477, 0.618, 0.963)
Au (0.477, 0.882, 0.963)
Au (0.523, 0.118, 0.037)
Au (0.523, 0.382, 0.037)
Au (0.694, 0.250, 0.687)
Au (0.806, 0.750, 0.187)
Au (0.977, 0.618, 0.537)
Au (0.977, 0.882, 0.537)

Results
Magnetization: 0.000 μB per cell
Symmetry: Pnma, No. 62
Polymorph energy (0 for the lowest one): 0.95 eV/f.u.

A geometry-optimized Ba3SiAu structure, computed with PBE.

Cell: 6.334 6.334 6.334 Å, 90.00 90.00 90.00°
Atoms (fractional coordinates):
Ba (0.000, 0.000, 0.500)
Ba (0.000, 0.500, 0.000)
Ba (0.500, 0.000, 0.000)
Si (0.000, 0.000, 0.000)
Au (0.500, 0.500, 0.500)

Results
Magnetization: 0.000 μB per cell
Symmetry: Pm-3m, No. 221
Polymorph energy (0 for the lowest one): 0.00 eV/f.u.

A geometry-optimized BaSiAu2 structure, computed with PBE.

Cell: 5.202 5.202 5.202 Å, 60.00 60.00 60.00°
Atoms (fractional coordinates):
Ba (0.000, 0.000, 0.000)
Si (0.500, 0.500, 0.500)
Au (0.250, 0.250, 0.250)
Au (0.750, 0.750, 0.750)

Results
Magnetization: 0.000 μB per cell
Symmetry: Fm-3m, No. 225

A geometry-optimized BaSiAu3 structure, computed with PBE.

Cell: 5.354 5.354 9.615 Å, 90.00 90.00 120.00°
Atoms (fractional coordinates):
Ba (0.333, 0.667, 0.250)
Ba (0.667, 0.333, 0.750)
Si (0.000, 0.000, 0.000)
Si (0.000, 0.000, 0.500)
Au (0.000, 0.000, 0.250)
Au (0.000, 0.000, 0.750)
Au (0.333, 0.667, 0.589)
Au (0.333, 0.667, 0.911)
Au (0.667, 0.333, 0.089)
Au (0.667, 0.333, 0.411)

Results
Magnetization: 0.000 μB per cell
Symmetry: P6_3/mmc, No. 194
Polymorph energy (0 for the lowest one): 1.72 eV/f.u.

A geometry-optimized BaSiAu3 structure, computed with PBE.

Cell: 4.928 6.828 7.801 Å, 90.00 90.05 90.00°
Atoms (fractional coordinates):
Ba (0.250, 0.250, 0.178)
Ba (0.750, 0.750, 0.822)
Si (0.254, 0.250, 0.745)
Si (0.746, 0.750, 0.255)
Au (0.246, 0.750, 0.197)
Au (0.250, 0.546, 0.572)
Au (0.250, 0.954, 0.572)
Au (0.750, 0.046, 0.428)
Au (0.750, 0.454, 0.428)
Au (0.754, 0.250, 0.803)

Results
Magnetization: 0.000 μB per cell
Symmetry: P2_1/m, No. 11
Polymorph energy (0 for the lowest one): 0.66 eV/f.u.

A geometry-optimized Ba2SiAu2 structure, computed with PBE.

Cell: 7.997 7.997 4.658 Å, 90.00 90.00 90.00°
Atoms (fractional coordinates):
Ba (0.181, 0.319, 0.000)
Ba (0.319, 0.819, 0.000)
Ba (0.681, 0.181, 0.000)
Ba (0.819, 0.681, 0.000)
Si (0.000, 0.000, 0.500)
Si (0.500, 0.500, 0.500)
Au (0.128, 0.628, 0.500)
Au (0.372, 0.128, 0.500)
Au (0.628, 0.872, 0.500)
Au (0.872, 0.372, 0.500)

Results
Magnetization: 0.000 μB per cell
Symmetry: P4/mbm, No. 127
Polymorph energy (0 for the lowest one): 0.30 eV/f.u.

A geometry-optimized BaSiAu3 structure, computed with PBE.

Cell: 9.665 9.665 5.396 Å, 90.00 90.00 146.91°
Atoms (fractional coordinates):
Ba (0.113, 0.887, 0.750)
Ba (0.887, 0.113, 0.250)
Si (0.391, 0.609, 0.750)
Si (0.609, 0.391, 0.250)
Au (0.028, 0.455, 0.750)
Au (0.455, 0.028, 0.250)
Au (0.500, 0.500, 0.000)
Au (0.500, 0.500, 0.500)
Au (0.545, 0.972, 0.750)
Au (0.972, 0.545, 0.250)

Results
Magnetization: 0.000 μB per cell
Symmetry: Cmcm, No. 63
Polymorph energy (0 for the lowest one): 0.82 eV/f.u.

A geometry-optimized BaSi2Au2 structure, computed with PBE.

Cell: 8.185 8.185 3.279 Å, 90.00 90.00 90.00°
Atoms (fractional coordinates):
Ba (0.000, 0.000, 0.000)
Ba (0.500, 0.500, 0.000)
Si (0.123, 0.377, 0.000)
Si (0.377, 0.877, 0.000)
Si (0.623, 0.123, 0.000)
Si (0.877, 0.623, 0.000)
Au (0.143, 0.643, 0.500)
Au (0.357, 0.143, 0.500)
Au (0.643, 0.857, 0.500)
Au (0.857, 0.357, 0.500)

Results
Magnetization: 0.000 μB per cell
Symmetry: P4/mbm, No. 127

A geometry-optimized BaSiAu3 structure, computed with PBE.

Cell: 8.452 8.452 6.760 Å, 102.49 102.49 75.95°
Atoms (fractional coordinates):
Ba (0.022, 0.978, 0.750)
Ba (0.361, 0.639, 0.250)
Ba (0.639, 0.361, 0.750)
Ba (0.978, 0.022, 0.250)
Si (0.232, 0.561, 0.685)
Si (0.439, 0.768, 0.815)
Si (0.561, 0.232, 0.185)
Si (0.768, 0.439, 0.315)
Au (0.002, 0.652, 0.394)
Au (0.006, 0.647, 0.920)
Au (0.295, 0.304, 0.911)
Au (0.304, 0.295, 0.411)
Au (0.348, 0.998, 0.106)
Au (0.353, 0.994, 0.580)
Au (0.647, 0.006, 0.420)
Au (0.652, 0.002, 0.894)
Au (0.696, 0.705, 0.589)
Au (0.705, 0.696, 0.089)
Au (0.994, 0.353, 0.080)
Au (0.998, 0.348, 0.606)

Results
Magnetization: 0.000 μB per cell
Symmetry: C2/c, No. 15
Polymorph energy (0 for the lowest one): 0.96 eV/f.u.

A geometry-optimized BaSiAu3 structure, computed with PBE.

Cell: 9.344 7.339 9.200 Å, 90.00 119.36 90.00°
Atoms (fractional coordinates):
Ba (0.196, 0.249, 0.348)
Ba (0.196, 0.251, 0.848)
Ba (0.804, 0.749, 0.152)
Ba (0.804, 0.751, 0.652)
Si (0.304, 0.612, 0.152)
Si (0.304, 0.888, 0.652)
Si (0.696, 0.112, 0.348)
Si (0.696, 0.388, 0.848)
Au (0.098, 0.644, 0.549)
Au (0.098, 0.856, 0.049)
Au (0.298, 0.750, 0.399)
Au (0.298, 0.750, 0.899)
Au (0.480, 0.150, 0.740)
Au (0.480, 0.350, 0.240)
Au (0.520, 0.650, 0.760)
Au (0.520, 0.850, 0.260)
Au (0.702, 0.250, 0.101)
Au (0.702, 0.250, 0.601)
Au (0.902, 0.144, 0.951)
Au (0.902, 0.356, 0.451)

Results
Magnetization: 0.000 μB per cell
Symmetry: P2_1/c, No. 14
Polymorph energy (0 for the lowest one): 0.47 eV/f.u.

A geometry-optimized BaSi3Au6 structure, computed with PBE.

Cell: 6.767 6.767 6.767 Å, 59.46 59.46 59.46°
Atoms (fractional coordinates):
Ba (0.000, 0.000, 0.000)
Si (0.196, 0.196, 0.196)
Si (0.439, 0.439, 0.439)
Si (0.713, 0.713, 0.713)
Au (0.017, 0.439, 0.478)
Au (0.099, 0.549, 0.813)
Au (0.439, 0.478, 0.017)
Au (0.478, 0.017, 0.439)
Au (0.549, 0.813, 0.099)
Au (0.813, 0.099, 0.549)

Results
Magnetization: 0.000 μB per cell
Symmetry: R3, No. 146

A geometry-optimized BaSiAu3 structure, computed with PBE.

Cell: 11.454 11.454 5.147 Å, 90.00 90.00 142.70°
Atoms (fractional coordinates):
Ba (0.140, 0.860, 0.750)
Ba (0.860, 0.140, 0.250)
Si (0.293, 0.707, 0.750)
Si (0.707, 0.293, 0.250)
Au (0.000, 0.000, 0.000)
Au (0.000, 0.000, 0.500)
Au (0.051, 0.582, 0.250)
Au (0.418, 0.949, 0.250)
Au (0.582, 0.051, 0.750)
Au (0.949, 0.418, 0.750)

Results
Magnetization: 0.000 μB per cell
Symmetry: Cmcm, No. 63
Polymorph energy (0 for the lowest one): 2.38 eV/f.u.

no.,formation energy (no corrections) (eV/atom)
1,-0.363
2,-0.057
3,-0.068
4,-0.209
5,-0.420
6,-0.376
7,-0.389
8,0.037
9,-0.360
10,-0.459
11,-0.197
12,-0.076